No. 1
Material: TiCu3Pd
Method: DFT, GGA-PBE
State: relaxed

Cell: 4.577 4.577 4.577 Å, 90.00 90.00 90.00°
Sites, in units of the cell vectors:
Cu 0.000 0.500 0.000
Cu 0.000 0.000 0.500
Cu 0.500 0.000 0.000
Pd 0.000 0.000 0.000
Ti 0.500 0.500 0.500

Summary:
**SG**: Pm-3m (221)
**Electronic total energy**: -20.55 eV per cell

No. 2
Material: ReAs2Cl
Method: DFT, GGA-PBE
State: relaxed

Cell: 4.956 4.956 2.815 Å, 90.00 90.00 90.00°
Sites, in units of the cell vectors:
Re 0.000 0.500 0.500
As 0.000 0.000 0.000
As 0.500 0.500 0.000
Cl 0.500 0.000 0.500

Summary:
**Energy relative to the elements, uncorrected**: 0.84 eV per atom
**SG**: P4/mmm (123)

No. 3
Material: Sr2Ac2Ag3
Method: DFT, GGA-PBE
State: relaxed

Cell: 5.555 5.569 9.681 Å, 90.02 106.68 120.02°
Sites, in units of the cell vectors:
Sr 0.251 0.126 0.376
Sr 0.749 0.874 0.624
Ac 0.748 0.374 0.122
Ac 0.252 0.626 0.878
Ag 0.000 0.000 0.000
Ag 0.503 0.251 0.755
Ag 0.497 0.749 0.245

Summary:
**SG**: C2/m (12)
**Electronic total energy**: -21.42 eV per cell

No. 4
Material: SbPd5Se
Method: DFT, GGA-PBE
State: relaxed

Cell: 4.153 4.153 7.036 Å, 90.00 90.00 90.00°
Sites, in units of the cell vectors:
Sb 0.000 0.000 0.500
Pd 0.000 0.500 0.779
Pd 0.000 0.500 0.221
Pd 0.500 0.000 0.779
Pd 0.500 0.000 0.221
Pd 0.500 0.500 0.500
Se 0.500 0.500 0.000

Summary:
**Energy relative to the elements, uncorrected**: -0.28 eV per atom
**SG**: P4/mmm (123)

No. 5
Material: Ca2MnCl
Method: DFT, GGA-PBE
State: relaxed

Cell: 3.574 3.575 9.936 Å, 90.00 90.00 90.03°
Last column: magnetic moment on the atom in μB.
Sites, in units of the cell vectors:
Ca 0.000 0.000 0.985  -0.09
Ca 0.500 0.500 0.296  0.02
Mn 0.500 0.500 0.785  4.07
Cl 0.000 0.000 0.434  0.01

Summary:
**Energy relative to the elements, uncorrected**: -0.29 eV per atom
**SG**: P4mm (99)

No. 6
Material: SmSi4Os4
Method: DFT, GGA-PBE
State: relaxed

Cell: 5.968 5.968 8.056 Å, 90.00 90.00 90.00°
Sites, in units of the cell vectors:
Sm 0.000 0.000 0.000
Sm 0.500 0.500 0.500
Si 0.500 0.803 0.822
Si 0.500 0.197 0.822
Si 0.803 0.500 0.178
Si 0.197 0.500 0.178
Si 0.303 0.000 0.322
Si 0.697 0.000 0.322
Si 0.000 0.303 0.678
Si 0.000 0.697 0.678
Os 0.248 0.500 0.877
Os 0.752 0.500 0.877
Os 0.500 0.752 0.123
Os 0.500 0.248 0.123
Os 0.000 0.748 0.377
Os 0.000 0.252 0.377
Os 0.252 0.000 0.623
Os 0.748 0.000 0.623

Summary:
**Energy relative to the elements, uncorrected**: -0.39 eV per atom
**SG**: P4_2/nmc (137)

Number 1: density of states at the Fermi level 10.64 states/eV per cell. Number 2: density of states at the Fermi level 5.17 states/eV per cell. Number 3: density of states at the Fermi level 6.33 states/eV per cell. Number 4: density of states at the Fermi level 6.98 states/eV per cell. Number 5: density of states at the Fermi level 3.85 states/eV per cell. Number 6: density of states at the Fermi level 9.39 states/eV per cell.